Entry from Alexandria via LeMat-Bulk: a geometry-optimized Pr2Y15Sc2 structure (GGA-PBE).

Geometry as POSCAR:
```
Pr2Y15Sc2
1.0
6.676 -5.631 -0.228
6.676 5.631 -0.228
2.223 0.000 8.450
Pr Y Sc
2 15 2
Direct
0.677 0.677 0.677
0.323 0.323 0.323
0.500 0.000 0.000
0.000 0.000 0.500
0.000 0.500 0.000
0.000 0.293 0.707
0.293 0.707 0.000
0.707 0.000 0.293
0.707 0.293 0.000
0.293 0.000 0.707
0.000 0.707 0.293
0.854 0.365 0.365
0.365 0.365 0.854
0.365 0.854 0.365
0.146 0.635 0.635
0.635 0.635 0.146
0.635 0.146 0.635
0.909 0.909 0.909
0.091 0.091 0.091
```

Calculated values
Electronic total energy = -5.99 eV per atom
Calculated volume = 33.7 A^3/atom
Total magnetic moment = 0.17 μB/atom

Entry from Alexandria via LeMat-Bulk: a geometry-optimized Pr6YSc2 structure (GGA-PBE).

Geometry as POSCAR:
```
Pr6YSc2
1.0
-11.021 -4.787 -2.097
-0.708 -6.321 3.826
-4.900 2.929 4.743
Pr Y Sc
12 2 4
Direct
0.604 0.772 0.495
0.896 0.505 0.228
0.396 0.228 0.505
0.104 0.495 0.772
0.940 0.043 0.257
0.560 0.743 0.957
0.060 0.957 0.743
0.440 0.257 0.043
0.159 0.632 0.208
0.341 0.792 0.368
0.841 0.368 0.792
0.659 0.208 0.632
0.250 0.048 0.952
0.750 0.952 0.048
0.370 0.600 0.761
0.130 0.239 0.400
0.630 0.400 0.239
0.870 0.761 0.600
```

Calculated values
Electronic total energy = -5.13 eV per atom
Calculated volume = 33.2 A^3/atom
Total magnetic moment = 0.00 μB/atom

Entry from Alexandria via LeMat-Bulk: a geometry-optimized PrY3Sc3 structure (GGA-PBE).

Geometry as POSCAR:
```
PrY3Sc3
1.0
-5.326 6.450 -1.652
-5.344 2.913 5.971
1.156 7.662 3.558
Pr Y Sc
2 6 6
Direct
0.350 0.350 0.350
0.650 0.650 0.650
0.723 0.569 0.066
0.066 0.723 0.569
0.569 0.066 0.723
0.431 0.934 0.277
0.934 0.277 0.431
0.277 0.431 0.934
0.725 0.167 0.937
0.167 0.937 0.725
0.937 0.725 0.167
0.063 0.275 0.833
0.833 0.063 0.275
0.275 0.833 0.063
```

Calculated values
Electronic total energy = -5.99 eV per atom
Calculated volume = 30.6 A^3/atom
Total magnetic moment = 0.00 μB/atom